Compound: Li4AlNi3O8
Source: the Alexandria database
Functional: GGA+U
Structure: relaxed

## Properties
**ρ**: 4.32 g cm⁻³
**Total energy**: -5.30 eV/atom
**Symmetry**: R-3m

Cell: 19.3778 19.3778 19.3778 Å, 8.50 8.50 8.50°
Element x y z (fractional)
Ni 0.2501 0.2501 0.2501
Ni 0.7499 0.7499 0.7499
Ni 0.5000 0.5000 0.5000
O 0.0644 0.0644 0.0644
O 0.9356 0.9356 0.9356
O 0.3158 0.3158 0.3158
O 0.1856 0.1856 0.1856
O 0.6842 0.6842 0.6842
O 0.8144 0.8144 0.8144
O 0.4356 0.4356 0.4356
O 0.5644 0.5644 0.5644
Li 0.1250 0.1250 0.1250
Li 0.8750 0.8750 0.8750
Li 0.6254 0.6254 0.6254
Li 0.3746 0.3746 0.3746
Al 0.0000 0.0000 0.0000